DFT (PBE with a Hubbard U) results for MnGaPb2O5 after structural relaxation.

```
MnGaPb2O5
1.0
3.192 0.000 0.000
-1.596 7.397 0.000
0.000 0.000 11.518
Mn Ga Pb O
2 2 4 10
Direct
0.799 0.597 0.532
0.201 0.403 0.032
0.544 0.088 0.938
0.456 0.912 0.438
0.861 0.721 0.817
0.112 0.224 0.642
0.139 0.279 0.317
0.888 0.776 0.142
0.348 0.695 0.005
0.673 0.345 0.925
0.480 0.959 0.801
0.287 0.574 0.641
0.970 0.939 0.524
0.652 0.305 0.505
0.327 0.655 0.425
0.520 0.041 0.301
0.713 0.426 0.141
0.030 0.061 0.024
```

Properties
total DFT energy (no corrections) = -6.101 eV/atom
magnetization = 8.00 μB/cell